! Mn3PPd PBE relaxed; values from VASP
&SYSTEM
  ibrav = 0, nat = 5, ntyp = 3
/
ATOMIC_SPECIES
Mn 54.94 Mn.upf
Pd 106.42 Pd.upf
P 30.97 P.upf
CELL_PARAMETERS angstrom
4.106 0.000 0.000
0.000 4.106 0.000
0.000 0.000 4.106
ATOMIC_POSITIONS angstrom
Mn 0.000 2.053 0.000
Mn 0.000 0.000 2.053
Mn 2.053 0.000 0.000
Pd 2.053 2.053 2.053
P 0.000 0.000 0.000
! Energy of formation from the pure elements ... 0.548 eV per atom

! YZr2Os PBE relaxed; values from VASP
&SYSTEM
  ibrav = 0, nat = 4, ntyp = 3
/
ATOMIC_SPECIES
Y 88.91 Y.upf
Os 190.23 Os.upf
Zr 91.22 Zr.upf
CELL_PARAMETERS angstrom
6.004 -0.002 0.003
2.987 5.208 -0.003
-3.958 -3.531 2.813
ATOMIC_POSITIONS angstrom
Y 2.062 2.314 1.405
Os 4.583 2.654 0.000
Zr 8.978 5.199 0.000
Zr 2.897 -0.682 1.408
! Energy of formation from the pure elements ... -0.144 eV per atom

! HoLuMnOs PBE relaxed; values from VASP
&SYSTEM
  ibrav = 0, nat = 4, ntyp = 4
/
ATOMIC_SPECIES
Mn 54.94 Mn.upf
Os 190.23 Os.upf
Lu 174.97 Lu.upf
Ho 164.93 Ho.upf
CELL_PARAMETERS angstrom
-3.222 -2.590 2.521
-0.576 -4.716 -0.932
1.519 -3.302 3.198
ATOMIC_POSITIONS angstrom
Mn 0.000 0.000 0.000
Os -1.140 -5.304 2.393
Lu -1.709 -7.956 3.590
Ho -0.570 -2.652 1.197
! Energy of formation from the pure elements ... -0.070 eV per atom